[1]
# K2ZnAu | Alexandria via LeMat-Bulk | meta-GGA SCAN | PBEsol geometry
data_K2ZnAu
_cell_length_a 8.6659
_cell_length_b 3.4692
_cell_length_c 8.8751
_cell_angle_alpha 90.00
_cell_angle_beta 97.01
_cell_angle_gamma 90.00
_symmetry_space_group_name_H-M 'C 1 2/m 1'
_symmetry_Int_Tables_number 12
_symmetry_space_group_name_Hall '-C 2y'
loop_
_atom_site_label
_atom_site_fract_x
_atom_site_fract_y
_atom_site_fract_z
K1 0.2432 0.0000 0.2278
Zn1 0.0000 0.0000 0.5000
Au1 0.0000 0.5000 0.0000
# Fermi-level density of states: 0.4255 states/eV/atom
# Calculated formation energy: 0.03 eV per atom
# Total DFT energy (no corrections): -24.80 eV/atom
# Total moment: 0.00 μB per formula unit
# Excess energy over the best structure of this formula in the dataset: 0.277 eV/atom

[2]
# KZn2Au2 | Alexandria via LeMat-Bulk | meta-GGA SCAN | PBEsol geometry
data_KZn2Au2
_cell_length_a 8.2044
_cell_length_b 8.2044
_cell_length_c 2.7443
_cell_angle_alpha 90.00
_cell_angle_beta 90.00
_cell_angle_gamma 90.00
_symmetry_space_group_name_H-M 'P 4/m b m'
_symmetry_Int_Tables_number 127
_symmetry_space_group_name_Hall '-P 4 2ab'
loop_
_atom_site_label
_atom_site_fract_x
_atom_site_fract_y
_atom_site_fract_z
K1 0.0000 0.0000 0.0000
Zn1 0.1238 0.3762 0.5000
Au1 0.1687 0.6687 0.0000
# Fermi-level density of states: 0.2575 states/eV/atom
# Calculated formation energy: -0.25 eV per atom
# Total DFT energy (no corrections): -34.99 eV/atom
# Total moment: 0.00 μB per formula unit
# Excess energy over the best structure of this formula in the dataset: 0.061 eV/atom

[3]
# KZn3Au | Alexandria via LeMat-Bulk | meta-GGA SCAN | PBEsol geometry
data_KZn3Au
_cell_length_a 4.9186
_cell_length_b 4.9186
_cell_length_c 4.9186
_cell_angle_alpha 90.00
_cell_angle_beta 90.00
_cell_angle_gamma 90.00
_symmetry_space_group_name_H-M 'P m -3 m'
_symmetry_Int_Tables_number 221
_symmetry_space_group_name_Hall '-P 4 2 3'
loop_
_atom_site_label
_atom_site_fract_x
_atom_site_fract_y
_atom_site_fract_z
K1 0.0000 0.0000 0.0000
Zn1 0.0000 0.5000 0.5000
Au1 0.5000 0.5000 0.5000
# Fermi-level density of states: 0.1985 states/eV/atom
# Calculated formation energy: -0.15 eV per atom
# Total DFT energy (no corrections): -23.76 eV/atom
# Total moment: 0.00 μB per formula unit
# Excess energy over the best structure of this formula in the dataset: 0.000 eV/atom

[4]
# KZn2Au | Alexandria via LeMat-Bulk | meta-GGA SCAN | PBEsol geometry
data_KZn2Au
_cell_length_a 6.9363
_cell_length_b 6.9363
_cell_length_c 6.9363
_cell_angle_alpha 90.00
_cell_angle_beta 90.00
_cell_angle_gamma 90.00
_symmetry_space_group_name_H-M 'F -4 3 m'
_symmetry_Int_Tables_number 216
_symmetry_space_group_name_Hall 'F -4 2 3'
loop_
_atom_site_label
_atom_site_fract_x
_atom_site_fract_y
_atom_site_fract_z
K1 0.0000 0.0000 0.0000
Zn1 0.0000 0.0000 0.5000
Zn2 0.2500 0.2500 0.7500
Au1 0.2500 0.2500 0.2500
# Fermi-level density of states: 0.2765 states/eV/atom
# Calculated formation energy: 0.19 eV per atom
# Total DFT energy (no corrections): -25.94 eV/atom
# Total moment: 0.00 μB per formula unit
# Excess energy over the best structure of this formula in the dataset: 0.501 eV/atom

Q: Among the records above, which one has the highest Fermi-level density of states?
A: K2ZnAu

Q: Look up the Fermi-level density of states of the fourth one.
A: 0.2765 states/eV/atom

Q: The lowest calculated formation energy belongs to which entry?
A: KZn2Au2